No. 1
DFT (GGA-PBE) results for ErBeGa2Cu4 after structural relaxation.

The structure belongs to space group R-3m (No. 166, hexagonal axes); the cell edges are 4.0926, 4.0926 and 24.2131 Å and the angles 90.00°, 90.00° and 120.00°. The asymmetric unit holds Er at (0.0000, 0.0000, 0.0000), Be at (0.0000, 0.0000, 0.5000), Ga at (0.0000, 0.0000, 0.2457), Cu at (0.0000, 0.0000, 0.1379) and Cu at (0.0000, 0.0000, 0.4074).

For the density of states at the Fermi level, the calculation gives 10.53 states/eV/cell. The calculation puts the total energy at -4.04 eV per atom. The calculation puts the formation energy at -0.2020 eV/atom.

No. 2
DFT (GGA-PBE) results for Er2BeGa4Cu3 after structural relaxation.

The structure belongs to space group P-4m2 (No. 115); the cell edges are 4.070, 4.070 and 10.045 Å and the angles 90.00°, 90.00° and 90.00°. The asymmetric unit holds Er at (0.000, 0.500, 0.242), Be at (0.500, 0.500, 0.000), Ga at (0.000, 0.000, 0.500), Ga at (0.000, 0.500, 0.874), Ga at (0.500, 0.500, 0.500), Cu at (0.000, 0.000, 0.000) and Cu at (0.000, 0.500, 0.638).

For the density of states at the Fermi level, the calculation gives 5.26 states/eV/cell. The calculation puts the total energy at -4.11 eV per atom. The calculation puts the formation energy at -0.3900 eV/atom.

No. 3
DFT (GGA-PBE) results for ErBeGaCu6 after structural relaxation.

The structure belongs to space group Imma (No. 74); the cell edges are 6.168, 7.859 and 10.968 Å and the angles 90.00°, 90.00° and 90.00°. The asymmetric unit holds Er at (0.000, 0.250, 0.203), Be at (0.000, 0.000, 0.000), Ga at (0.250, 0.250, 0.750), Cu at (0.000, 0.250, 0.475), Cu at (0.000, 0.250, 0.925) and Cu at (0.201, 0.007, 0.614).

For the density of states at the Fermi level, the calculation gives 13.62 states/eV/cell. The calculation puts the total energy at -3.91 eV per atom. The calculation puts the formation energy at 0.0818 eV/atom.

No. 4
DFT (GGA-PBE) results for Er2BeCu3Ge4 after structural relaxation.

The structure belongs to space group P-4m2 (No. 115); the cell edges are 3.998, 3.998 and 10.382 Å and the angles 90.00°, 90.00° and 90.00°. The asymmetric unit holds Er at (0.000, 0.500, 0.242), Be at (0.500, 0.500, 0.000), Cu at (0.000, 0.000, 0.000), Cu at (0.000, 0.500, 0.642), Ge at (0.000, 0.000, 0.500), Ge at (0.000, 0.500, 0.868) and Ge at (0.500, 0.500, 0.500).

For the density of states at the Fermi level, the calculation gives 2.07 states/eV/cell. The calculation puts the total energy at -4.79 eV per atom. The calculation puts the formation energy at -0.4244 eV/atom.

No. 5
DFT (GGA-PBE) results for ErBeInCu after structural relaxation.

The structure belongs to space group F-43m (No. 216); the cell edges are 6.514, 6.514 and 6.514 Å and the angles 90.00°, 90.00° and 90.00°. The asymmetric unit holds Er at (0.000, 0.000, 0.000), Be at (0.250, 0.250, 0.250), In at (0.000, 0.000, 0.500) and Cu at (0.250, 0.250, 0.750).

For the density of states at the Fermi level, the calculation gives 7.30 states/eV/cell. The calculation puts the total energy at -3.92 eV per atom. The calculation puts the formation energy at -0.1390 eV/atom.

No. 6
DFT (GGA-PBE) results for LaErBeCu after structural relaxation.

The structure belongs to space group F-43m (No. 216); the cell edges are 7.064, 7.064 and 7.064 Å and the angles 90.00°, 90.00° and 90.00°. The asymmetric unit holds La at (0.000, 0.000, 0.000), Er at (0.000, 0.000, 0.500), Be at (0.250, 0.250, 0.750) and Cu at (0.250, 0.250, 0.250).

For the density of states at the Fermi level, the calculation gives 7.43 states/eV/cell. The calculation puts the total energy at -4.32 eV per atom. The calculation puts the formation energy at 0.0067 eV/atom.

No. 7
DFT (GGA-PBE) results for ErMgBeCu after structural relaxation.

The structure belongs to space group F-43m (No. 216); the cell edges are 6.526, 6.526 and 6.526 Å and the angles 90.00°, 90.00° and 90.00°. The asymmetric unit holds Er at (0.000, 0.000, 0.000), Mg at (0.000, 0.000, 0.500), Be at (0.250, 0.250, 0.250) and Cu at (0.250, 0.250, 0.750).

For the density of states at the Fermi level, the calculation gives 5.51 states/eV/cell. The calculation puts the total energy at -3.55 eV per atom. The calculation puts the formation energy at -0.0542 eV/atom.

No. 8
DFT (GGA-PBE) results for Er2Be3Cu12Pd after structural relaxation.

The structure belongs to space group R-3m (No. 166, hexagonal axes); the cell edges are 7.5816, 7.5816 and 17.0510 Å and the angles 90.00°, 90.00° and 120.00°. The asymmetric unit holds Er at (0.0000, 0.0000, 0.0986), Be at (0.0000, 0.5000, 0.0000), Cu at (0.0269, 0.5135, 0.8770), Cu at (0.0385, 0.5192, 0.3533) and Pd at (0.0000, 0.0000, 0.5000).

For the density of states at the Fermi level, the calculation gives 27.67 states/eV/cell. The calculation puts the total energy at -3.81 eV per atom. The calculation puts the formation energy at 0.3338 eV/atom.